[1]
Density functional theory data (GGA-PBE) for LaPr2Al2Si2 after structural relaxation.

Lattice parameters (Å, degrees): 12.3527 12.3527 12.3527 19.54 19.54 19.54
Last column: nearest neighbours and their distance in Å.
Element x y z (fractional)
La1 0.0000 0.0000 0.0000  6 Si 3.27, 6 Al 3.32
Pr1 0.1198 0.1198 0.1198  3 Al 3.19, 3 Si 3.24
Pr2 0.8802 0.8802 0.8802  3 Al 3.19, 3 Si 3.24
Al1 0.3960 0.3960 0.3960  3 Si 2.42
Al2 0.6040 0.6040 0.6040  3 Si 2.42
Si1 0.2729 0.2729 0.2729  3 Al 2.42
Si2 0.7271 0.7271 0.7271  3 Al 2.42

The value obtained for the uncorrected formation energy is -0.5073 eV per atom. As for the density of states at the Fermi level: 4.92 states/eV/f.u. For the raw total energy, the calculation gives -36.37 eV per formula unit. The value obtained for the total moment is 0.000 μB/atom.

---

[2]
Density functional theory data (GGA-PBE) for Y2ReCl after structural relaxation.

Lattice parameters (Å, degrees): 3.3785 3.3785 32.0626 90.00 90.00 120.00
Last column: nearest neighbours and their distance in Å.
Element x y z (fractional)
Y1 0.0000 0.0000 0.0000  3 Cl 2.72
Y2 0.0000 0.0000 0.2338  3 Re 2.85
Y3 0.3333 0.6667 0.6667  3 Cl 2.72
Y4 0.3333 0.6667 0.9004  3 Re 2.85
Y5 0.6667 0.3333 0.3333  3 Cl 2.72
Y6 0.6667 0.3333 0.5671  3 Re 2.85
Re1 0.0000 0.0000 0.5025  3 Y 2.85
Re2 0.3333 0.6667 0.1691  3 Y 2.85
Re3 0.6667 0.3333 0.8358  3 Y 2.85
Cl1 0.0000 0.0000 0.7258  3 Y 2.72
Cl2 0.3333 0.6667 0.3924  3 Y 2.72
Cl3 0.6667 0.3333 0.0591  3 Y 2.72

The value obtained for the uncorrected formation energy is 0.1898 eV per atom. As for the density of states at the Fermi level: 4.38 states/eV/f.u. For the raw total energy, the calculation gives -26.46 eV per formula unit. The value obtained for the total moment is 0.443 μB/atom.

---

[3]
Density functional theory data (GGA-PBE) for TlPH2 after structural relaxation.

Lattice parameters (Å, degrees): 4.7742 4.7742 10.1802 90.00 90.00 90.00
Last column: nearest neighbours and their distance in Å.
Element x y z (fractional)
Tl1 0.0000 0.2500 0.3750  8 H 2.96
Tl2 0.0000 0.7500 0.6250  8 H 2.96
Tl3 0.5000 0.2500 0.1250  8 H 2.96
Tl4 0.5000 0.7500 0.8750  8 H 2.96
P1 0.0000 0.2500 0.8750  4 H 1.74
P2 0.0000 0.7500 0.1250  4 H 1.74
P3 0.5000 0.2500 0.6250  4 H 1.74
P4 0.5000 0.7500 0.3750  4 H 1.74
H1 0.0000 0.0000 0.0000  2 P 1.74
H2 0.0000 0.5000 0.0000  2 P 1.74
H3 0.2500 0.2500 0.7500  2 P 1.74
H4 0.2500 0.7500 0.2500  2 P 1.74
H5 0.5000 0.0000 0.5000  2 P 1.74
H6 0.5000 0.5000 0.5000  2 P 1.74
H7 0.7500 0.2500 0.7500  2 P 1.74
H8 0.7500 0.7500 0.2500  2 P 1.74

As for the density of states at the Fermi level: 0.00 states/eV/f.u. For the raw total energy, the calculation gives -13.26 eV per formula unit. The value obtained for the total moment is 0.000 μB/atom.

---

[4]
Density functional theory data (GGA-PBE) for Y2CdW after structural relaxation.

Lattice parameters (Å, degrees): 3.2704 3.7205 7.9816 90.00 90.00 90.00
Last column: nearest neighbours and their distance in Å.
Element x y z (fractional)
Y1 0.0000 0.0000 0.2231  4 W 3.05, 2 Y 3.27, 4 Cd 3.32
Y2 0.0000 0.0000 0.7769  4 W 3.05, 2 Y 3.27, 4 Cd 3.32
Cd1 0.5000 0.5000 0.5000  2 Cd 3.27, 8 Y 3.32
W1 0.5000 0.5000 0.0000  8 Y 3.05, 2 W 3.27

The formation energy comes out at 0.78 eV per formula unit. As for the density of states at the Fermi level: 4.20 states/eV/f.u. For the raw total energy, the calculation gives -26.02 eV per formula unit. The value obtained for the total moment is 0.000 μB/atom.

---

[5]
Density functional theory data (GGA-PBE) for Pr2TmTe5Au after structural relaxation.

Lattice parameters (Å, degrees): 9.8051 9.8051 13.2364 90.00 90.00 154.28
Last column: nearest neighbours and their distance in Å.
Element x y z (fractional)
Pr1 0.1135 0.8865 0.5000  8 Te 3.30-3.38
Pr2 0.1247 0.8753 0.1189  8 Te 3.25-3.47
Pr3 0.8753 0.1247 0.6189  8 Te 3.25-3.47
Pr4 0.8865 0.1135 0.0000  8 Te 3.30-3.38
Tm1 0.1884 0.8116 0.8206  6 Te 2.96-3.12, 2 Au 3.15
Tm2 0.8116 0.1884 0.3206  6 Te 2.96-3.12, 2 Au 3.15
Te1 0.0403 0.9597 0.8869  2 Au 2.74, 1 Tm 2.96
Te2 0.2877 0.7123 0.4795  2 Tm 3.06, 3 Pr 3.31-3.34
Te3 0.3041 0.6959 0.1523  1 Au 2.81, 2 Tm 3.12
Te4 0.3516 0.6484 0.8116  1 Tm 3.12, 4 Pr 3.38-3.39
Te5 0.5003 0.4997 0.0919  1 Au 2.78
Te6 0.4997 0.5003 0.5919  1 Au 2.78
Te7 0.6484 0.3516 0.3116  1 Tm 3.12, 4 Pr 3.38-3.39
Te8 0.6959 0.3041 0.6523  1 Au 2.81, 2 Tm 3.12
Te9 0.7123 0.2877 0.9795  2 Tm 3.06, 3 Pr 3.31-3.34
Te10 0.9597 0.0403 0.3869  2 Au 2.74, 1 Tm 2.96
Au1 0.4257 0.5743 0.2721  4 Te 2.74-2.81
Au2 0.5743 0.4257 0.7721  4 Te 2.74-2.81

The value obtained for the uncorrected formation energy is -1.1944 eV per atom. As for the density of states at the Fermi level: 0.18 states/eV/f.u. For the raw total energy, the calculation gives -43.77 eV per formula unit. The value obtained for the total moment is 0.000 μB/atom.

---

[6]
Density functional theory data (GGA-PBE) for SrCuTc2 after structural relaxation.

Lattice parameters (Å, degrees): 7.3539 4.2445 6.2191 90.00 113.13 90.00
Last column: nearest neighbours and their distance in Å.
Element x y z (fractional)
Sr1 0.0000 0.0000 0.0000  4 Cu 3.30-3.49, 7 Tc 3.31-3.57
Sr2 0.5000 0.5000 0.0000  4 Cu 3.30-3.49, 7 Tc 3.31-3.57
Cu1 0.2972 0.5000 0.3892  6 Tc 2.61-2.68
Cu2 0.7972 0.0000 0.3892  6 Tc 2.61-2.68
Tc1 0.0155 0.5000 0.5449  3 Tc 2.46, 3 Cu 2.61
Tc2 0.1934 0.0000 0.5787  3 Tc 2.46, 3 Cu 2.68
Tc3 0.5155 0.0000 0.5449  3 Tc 2.46, 3 Cu 2.61
Tc4 0.6934 0.5000 0.5787  3 Tc 2.46, 3 Cu 2.68

The formation energy comes out at 1.19 eV per formula unit. As for the density of states at the Fermi level: 4.93 states/eV/f.u. For the raw total energy, the calculation gives -25.32 eV per formula unit. The value obtained for the total moment is 0.000 μB/atom.

---

[7]
Density functional theory data (GGA-PBE) for TlTeS after structural relaxation.

Lattice parameters (Å, degrees): 4.7694 4.7694 4.4755 90.00 90.00 120.00
Last column: nearest neighbours and their distance in Å.
Element x y z (fractional)
Tl1 0.0000 0.0000 0.0000  3 S 3.34, 6 Te 3.49-3.61
Te1 0.6667 0.3333 0.4777  3 S 2.79
S1 0.3333 0.6667 0.5771  3 Te 2.79

The value obtained for the uncorrected formation energy is 0.0860 eV per atom. As for the density of states at the Fermi level: 1.30 states/eV/f.u. For the raw total energy, the calculation gives -9.38 eV per formula unit. The value obtained for the total moment is 0.000 μB/atom.

---

[8]
Density functional theory data (GGA-PBE) for Pm6Nd3Tm2Th after structural relaxation.

Lattice parameters (Å, degrees): 6.2671 6.2671 12.0713 94.97 94.97 119.91
Last column: nearest neighbours and their distance in Å.
Element x y z (fractional)
Pm1 0.0822 0.4125 0.2448  1 Th 3.57, 6 Pm 3.58-3.64, 2 Tm 3.59, 3 Nd 3.68-3.69
Pm2 0.2481 0.2481 0.7550  1 Th 3.57, 6 Pm 3.59-3.64, 2 Tm 3.59, 3 Nd 3.68-3.70
Pm3 0.4125 0.0822 0.2448  1 Th 3.57, 6 Pm 3.58-3.64, 2 Tm 3.59, 3 Nd 3.68-3.69
Pm4 0.5875 0.9178 0.7552  1 Th 3.57, 6 Pm 3.58-3.64, 2 Tm 3.59, 3 Nd 3.68-3.69
Pm5 0.7519 0.7519 0.2450  1 Th 3.57, 6 Pm 3.59-3.64, 2 Tm 3.59, 3 Nd 3.68-3.70
Pm6 0.9178 0.5875 0.7552  1 Th 3.57, 6 Pm 3.58-3.64, 2 Tm 3.59, 3 Nd 3.68-3.69
Nd1 0.1667 0.8333 0.5000  6 Nd 3.62, 6 Pm 3.68-3.69
Nd2 0.5000 0.5000 0.5000  6 Nd 3.62, 6 Pm 3.68-3.70
Nd3 0.8333 0.1667 0.5000  6 Nd 3.62, 6 Pm 3.68-3.69
Tm1 0.3334 0.6666 0.0000  6 Pm 3.59, 3 Tm 3.62, 3 Th 3.62
Tm2 0.6666 0.3334 0.0000  6 Pm 3.59, 3 Tm 3.62, 3 Th 3.62
Th1 0.0000 0.0000 0.0000  6 Pm 3.57, 6 Tm 3.62

The formation energy comes out at 0.34 eV per formula unit. As for the density of states at the Fermi level: 17.12 states/eV/f.u. For the raw total energy, the calculation gives -58.83 eV per formula unit. The value obtained for the total moment is 0.000 μB/atom.